No. 1
Below is an optimized crystal structure of Tb2SnHPt6, with properties calculated at the PBE-GGA level.

Crystal system: monoclinic
Raw total energy (eV per atom): -6.03
Magnetic moment (μB per formula unit): 0.0

Cell: 9.837 5.678 7.210 Å, 90.00 117.31 90.00°
Space group C2/m (No. 12)
Inequivalent atoms, fractional coordinates:
Tb 0.220 0.000 0.165 x4
Sn 0.000 0.500 0.000 x2
H 0.000 0.000 0.500 x2
Pt 0.020 0.249 0.315 x8
Pt 0.228 0.000 0.680 x4

No. 2
Below is an optimized crystal structure of AgIrIN2, with properties calculated at the PBE-GGA level.

Crystal system: tetragonal
Energy relative to the elements, uncorrected (eV/atom): 0.81
Distance to the lowest polymorph of the same formula (meV per atom): 0
Raw total energy (eV per atom): -5.17
Magnetic moment (μB per formula unit): 0.3

Cell: 3.824 3.824 8.629 Å, 90.00 90.00 90.00°
Space group P4/mmm (No. 123)
Inequivalent atoms, fractional coordinates:
Ag 0.000 0.000 0.000 x1
Ir 0.500 0.500 0.500 x1
I 0.500 0.500 0.000 x1
N 0.000 0.500 0.500 x2

No. 3
Below is an optimized crystal structure of Ce2Ir2O7, with properties calculated at the PBE-GGA level.

Crystal system: cubic
Energy relative to the elements, uncorrected (eV/atom): -2.05
Raw total energy (eV per atom): -7.90
Magnetic moment (μB per formula unit): 0.2

Cell: 10.386 10.386 10.386 Å, 90.00 90.00 90.00°
Space group Fd-3m (No. 227, origin choice 2)
Inequivalent atoms, fractional coordinates:
Ce 0.000 0.000 0.000 x16
Ir 0.000 0.000 0.500 x16
O 0.093 0.375 0.875 x48
O 0.125 0.125 0.125 x8

No. 4
Below is an optimized crystal structure of TlInPd3, with properties calculated at the PBE-GGA level.

Energy of formation from the pure elements (eV/atom): -0.30
Crystal system: monoclinic
Distance to the lowest polymorph of the same formula (meV per atom): 0
Raw total energy (eV per atom): -4.43
Magnetic moment (μB per formula unit): 0.0

Cell: 15.211 4.242 5.741 Å, 90.00 99.17 90.00°
Space group C2/m (No. 12)
Inequivalent atoms, fractional coordinates:
Tl 0.083 0.000 0.281 x4
In 0.197 0.500 0.659 x4
Pd 0.000 0.500 0.000 x2
Pd 0.000 0.500 0.500 x2
Pd 0.107 0.000 0.801 x4
Pd 0.194 0.500 0.147 x4

No. 5
Below is an optimized crystal structure of NdCdCuHg, with properties calculated at the PBE-GGA level.

Energy of formation from the pure elements (eV/atom): -0.27
Crystal system: cubic
Raw total energy (eV per atom): -2.79
Magnetic moment (μB per formula unit): 0.0

Cell: 7.090 7.090 7.090 Å, 90.00 90.00 90.00°
Space group F-43m (No. 216)
Inequivalent atoms, fractional coordinates:
Nd 0.000 0.000 0.000 x4
Cd 0.000 0.000 0.500 x4
Cu 0.250 0.250 0.250 x4
Hg 0.250 0.250 0.750 x4

No. 6
Below is an optimized crystal structure of BaCa2ZnS4, with properties calculated at the PBE-GGA level.

Crystal system: orthorhombic
Energy relative to the elements, uncorrected (eV/atom): -1.77
Raw total energy (eV per atom): -4.74
Magnetic moment (μB per formula unit): 0.0

Cell: 4.070 13.823 14.024 Å, 90.00 90.00 90.00°
Space group Cmcm (No. 63)
Inequivalent atoms, fractional coordinates:
Ba 0.000 0.113 0.250 x4
Ca 0.000 0.371 0.051 x8
Zn 0.000 0.160 0.750 x4
S 0.000 0.000 0.000 x4
S 0.000 0.263 0.619 x8
S 0.000 0.434 0.250 x4

No. 7
Below is an optimized crystal structure of CaRuW2, with properties calculated at the PBE-GGA level.

Energy of formation from the pure elements (eV/atom): 0.65
Crystal system: orthorhombic
Distance to the lowest polymorph of the same formula (meV per atom): 196
Raw total energy (eV per atom): -8.65
Magnetic moment (μB per formula unit): 0.0

Cell: 3.127 4.951 9.211 Å, 90.00 90.00 90.00°
Space group Imm2 (No. 44)
Inequivalent atoms, fractional coordinates:
Ca 0.000 0.000 0.000 x2
Ru 0.000 0.500 0.765 x2
W 0.000 0.000 0.494 x2
W 0.000 0.500 0.219 x2

No. 8
Below is an optimized crystal structure of Nb3Tc5N12, with properties calculated at the PBE-GGA level.

Crystal system: cubic
Energy relative to the elements, uncorrected (eV/atom): 0.03
Raw total energy (eV per atom): -9.07
Magnetic moment (μB per formula unit): 1.3

Cell: 12.168 12.168 12.168 Å, 90.00 90.00 90.00°
Space group Ia-3d (No. 230)
Inequivalent atoms, fractional coordinates:
Nb 0.000 0.250 0.125 x24
Tc 0.000 0.000 0.000 x16
Tc 0.000 0.250 0.375 x24
N 0.026 0.068 0.654 x96